Record 1
A plane-wave DFT calculation with PBE was carried out for BeAs2I8 after structural relaxation.

Its space group is C2/m. The size of the total moment comes out at 0.000 μB/atom. As for the crystal system: monoclinic. Its density of states at the Fermi level is 0.000 states/eV per cell.

Unit cell a=9.535 b=9.535 c=9.526 alpha=106.54 beta=106.54 gamma=54.84
Element x y z (fractional)
Be: 0.000 0.000 0.000
As: 0.138 0.138 0.578
As: 0.862 0.862 0.422
I: 0.120 0.658 0.272
I: 0.124 0.124 0.164
I: 0.298 0.298 0.643
I: 0.342 0.880 0.728
I: 0.658 0.120 0.272
I: 0.702 0.702 0.357
I: 0.876 0.876 0.836
I: 0.880 0.342 0.728

Record 2
A plane-wave DFT calculation with PBE was carried out for Be3AsI after structural relaxation.

Its space group is Pm-3m. The size of the total moment comes out at 0.000 μB/atom. As for the crystal system: cubic. Its density of states at the Fermi level is 2.694 states/eV per cell.

Unit cell a=4.550 b=4.550 c=4.550 alpha=90.00 beta=90.00 gamma=90.00
Element x y z (fractional)
Be: 0.000 0.000 0.500
Be: 0.000 0.500 0.000
Be: 0.500 0.000 0.000
As: 0.000 0.000 0.000
I: 0.500 0.500 0.500

Result set for ΔE_f (raw): -167 766 meV/atom, one per record in the order listed.